Record 1
5
Lattice="5.368 0.000 0.000 0.000 5.368 0.000 0.000 0.000 5.586" Properties=species:S:1:pos:R:3 comment="SCAN Hf2SnBiSb, single point on PBEsol structure" raw_formation_energy_ev_per_atom=1.308 dft_energy_ev_per_cell=-270.57 pbc="T T T"
Sb 2.684 2.684 2.793
Hf 0.000 2.684 0.000
Hf 2.684 0.000 0.000
Bi 0.000 0.000 0.000
Sn 0.000 0.000 2.793

Record 2
5
Lattice="-0.315 4.883 2.567 -4.190 1.461 -3.292 -3.588 -2.134 3.619" Properties=species:S:1:pos:R:3 comment="SCAN HfScBi3, single point on PBEsol structure" formation_enthalpy_0k_mev_per_atom=402 dft_energy_ev_per_cell=-310.64 pbc="T T T"
Sc -4.046 2.105 1.447
Hf 0.000 0.000 0.000
Bi -2.095 0.730 -1.646
Bi -1.794 -1.067 1.810
Bi -0.157 2.441 1.283

Record 3
5
Lattice="5.083 0.000 0.000 0.000 5.315 0.000 0.000 0.000 5.315" Properties=species:S:1:pos:R:3 comment="SCAN Hf2TaBiSe, single point on PBEsol structure" raw_formation_energy_ev_per_atom=1.847 dft_energy_ev_per_cell=-281.35 pbc="T T T"
Hf 0.000 0.000 2.657
Hf 0.000 2.657 0.000
Bi 0.000 0.000 0.000
Se 2.542 2.657 2.657
Ta 2.542 0.000 0.000

Record 4
5
Lattice="5.243 0.000 0.000 0.000 5.243 0.000 0.000 0.000 5.243" Properties=species:S:1:pos:R:3 comment="SCAN Hf3SiBi, single point on PBEsol structure" raw_formation_energy_ev_per_atom=1.669 dft_energy_ev_per_cell=-268.27 pbc="T T T"
Si 2.621 2.621 2.621
Hf 0.000 2.621 0.000
Hf 0.000 0.000 2.621
Hf 2.621 0.000 0.000
Bi 0.000 0.000 0.000

Record 5
8
Lattice="-3.957 3.270 -3.995 -2.721 -5.599 -1.887 -1.037 1.686 7.703" Properties=species:S:1:pos:R:3 comment="SCAN HfSiBi2, single point on PBEsol structure" raw_formation_energy_ev_per_atom=0.656 dft_energy_ev_per_cell=-454.45 pbc="T T T"
Si -4.167 1.895 0.384
Si -3.339 -1.165 -2.941
Hf -3.548 -2.539 1.437
Hf 0.000 0.000 0.000
Bi -4.159 -3.222 -1.260
Bi -4.707 1.153 -2.241
Bi -1.637 0.923 5.025
Bi -4.927 -0.141 2.118

Record 6
5
Lattice="5.460 0.000 0.000 0.000 5.460 0.000 0.000 0.000 5.460" Properties=species:S:1:pos:R:3 comment="SCAN HfSn3Bi, single point on PBEsol structure" formation_enthalpy_0k_mev_per_atom=486 dft_energy_ev_per_cell=-246.58 pbc="T T T"
Hf 0.000 0.000 0.000
Bi 2.730 2.730 2.730
Sn 0.000 2.730 0.000
Sn 0.000 0.000 2.730
Sn 2.730 0.000 0.000